DFT (PBE) results for a geometry-optimized YMn5Ge3 structure.

- Energy of formation: -195 meV/atom
- E: -7.5462 eV/atom
- N(E_F): 29.77 states/eV/cell
- M_tot: 1.082 μB/atom

a = 3.8700 Å, b = 12.3896 Å, c = 11.5895 Å
α = 90.00°, β = 90.00°, γ = 90.00°
With the nearest neighbours (Å) after each atom.
Space group Cmcm (No. 63)
Symmetry-distinct sites (fractional):
Y  0.0000  0.1696  0.2500  6 Ge 2.94-3.22
Mn  0.0000  0.0000  0.0000  6 Mn 2.45-2.64, 4 Ge 2.54
Mn  0.0000  0.1923  0.5492  4 Ge 2.38-2.55, 5 Mn 2.45-2.66
Mn  0.0000  0.4305  0.1365  4 Ge 2.43-2.44, 5 Mn 2.63-2.66
Ge  0.0000  0.1232  0.7500  6 Mn 2.43-2.48
Ge  0.0000  0.3837  0.5681  7 Mn 2.38-2.55

---

DFT (PBE) results for a geometry-optimized Y3MnGe structure.

- Energy of formation: 225 meV/atom
- E: -6.4106 eV/atom
- N(E_F): 7.42 states/eV/cell
- M_tot: 0.552 μB/atom

a = 5.5281 Å, b = 5.5281 Å, c = 5.5281 Å
α = 90.00°, β = 90.00°, γ = 90.00°
With the nearest neighbours (Å) after each atom.
Space group Pm-3m (No. 221)
Symmetry-distinct sites (fractional):
Y  0.0000  0.0000  0.5000  2 Ge 2.76
Mn  0.5000  0.5000  0.5000  12 Y 3.91
Ge  0.0000  0.0000  0.0000  6 Y 2.76

---

DFT (PBE) results for a geometry-optimized YMnGe2 structure.

- Energy of formation: -474 meV/atom
- E: -6.6910 eV/atom
- N(E_F): 4.81 states/eV/cell
- M_tot: 0.659 μB/atom

a = 4.1146 Å, b = 4.1146 Å, c = 15.5784 Å
α = 90.00°, β = 90.00°, γ = 120.00°
With the nearest neighbours (Å) after each atom.
Space group R-3m (No. 166, hexagonal axes)
Symmetry-distinct sites (fractional):
Y  0.0000  0.0000  0.0000  6 Ge 2.93
Mn  0.0000  0.0000  0.5000  6 Ge 2.54
Ge  0.0000  0.0000  0.2236  3 Mn 2.54

---

DFT (PBE) results for a geometry-optimized Y2Mn2Ge structure.

- Energy of formation: -101 meV/atom
- E: -7.2778 eV/atom
- N(E_F): 10.06 states/eV/cell
- M_tot: 1.018 μB/atom

a = 6.8880 Å, b = 6.8880 Å, c = 4.2258 Å
α = 90.00°, β = 90.00°, γ = 90.00°
With the nearest neighbours (Å) after each atom.
Space group P4/mbm (No. 127)
Symmetry-distinct sites (fractional):
Y  0.1761  0.3239  0.0000  6 Mn 2.85-2.99
Mn  0.1274  0.6274  0.5000  1 Mn 2.48, 2 Ge 2.71
Ge  0.0000  0.0000  0.5000  4 Mn 2.71

---

DFT (PBE) results for a geometry-optimized YMnGe structure.

- Energy of formation: -500 meV/atom
- E: -7.2507 eV/atom
- N(E_F): 14.08 states/eV/cell
- M_tot: 0.933 μB/atom

a = 7.0656 Å, b = 4.0896 Å, c = 8.0134 Å
α = 90.00°, β = 90.00°, γ = 90.00°
With the nearest neighbours (Å) after each atom.
Space group Pnma (No. 62)
Symmetry-distinct sites (fractional):
Y  0.0259  0.2500  0.1806  5 Ge 2.96-2.99, 3 Mn 3.09-3.15
Mn  0.1316  0.2500  0.5542  4 Ge 2.56-2.81
Ge  0.2250  0.7500  0.3812  4 Mn 2.56-2.81

---

DFT (PBE) results for a geometry-optimized Y4MnGe8 structure.

- Energy of formation: -578 meV/atom
- E: -6.1142 eV/atom
- N(E_F): 6.49 states/eV/cell
- M_tot: 0.199 μB/atom

a = 4.0162 Å, b = 4.1823 Å, c = 16.0671 Å
α = 90.00°, β = 90.00°, γ = 90.00°
With the nearest neighbours (Å) after each atom.
Space group Pmm2 (No. 25)
Symmetry-distinct sites (fractional):
Y  0.0000  0.0000  0.0000  10 Ge 2.98-3.16
Y  0.0000  0.5000  0.4916  10 Ge 2.95-3.27
Y  0.5000  0.0000  0.7891  10 Ge 3.07-3.41, 4 Mn 3.21
Y  0.5000  0.5000  0.2880  10 Ge 3.00-3.23
Mn  0.0000  0.5000  0.7034  5 Ge 2.36-2.40
Ge  0.0000  0.0000  0.3352  2 Ge 2.63
Ge  0.0000  0.0000  0.6319  2 Mn 2.39
Ge  0.0000  0.5000  0.1413  4 Ge 2.90, 4 Y 3.09-3.10
Ge  0.0000  0.5000  0.8528  1 Mn 2.40, 2 Ge 2.61
Ge  0.5000  0.0000  0.1467  4 Ge 2.90, 4 Y 3.09-3.10
Ge  0.5000  0.0000  0.4412  2 Ge 2.63
Ge  0.5000  0.5000  0.6257  2 Mn 2.36
Ge  0.5000  0.5000  0.9568  2 Ge 2.61